[1]
VASP calculation (PBE) on an optimized crystal structure of Li2GaPt3.

Calculated values
DFT formation energy	-0.581	eV per atom

Geometry as POSCAR:
```
Li2GaPt3
1.0
7.3840 0.0000 0.0000
0.0000 7.3840 0.0000
0.0000 0.0000 7.3840
Li Ga Pt
8 4 12
Cartesian
3.8037 3.5803 7.2723 Li
5.4263 5.4263 5.4263 Li
7.2723 3.8037 3.5803 Li
3.5803 7.2723 3.8037 Li
1.7343 5.6497 1.9577 Li
5.6497 1.9577 1.7343 Li
1.9577 1.7343 5.6497 Li
0.1117 0.1117 0.1117 Li
6.4610 0.9230 4.6150 Ga
0.9230 4.6150 6.4610 Ga
4.6150 6.4610 0.9230 Ga
2.7690 2.7690 2.7690 Ga
4.6150 2.6682 4.5142 Pt
4.7158 0.8222 6.4610 Pt
4.5142 4.6150 2.6682 Pt
6.5618 2.7690 6.3602 Pt
2.6682 4.5142 4.6150 Pt
2.8698 0.9230 1.0238 Pt
0.8222 6.4610 4.7158 Pt
6.3602 6.5618 2.7690 Pt
1.0238 2.8698 0.9230 Pt
6.4610 4.7158 0.8222 Pt
2.7690 6.3602 6.5618 Pt
0.9230 1.0238 2.8698 Pt
```


[2]
VASP calculation (PBE) on an optimized crystal structure of LiGa6Pt3.

Calculated values
DFT formation energy	-0.554	eV per atom

Geometry as POSCAR:
```
LiGa6Pt3
1.0
-3.6664 1.7548 0.6141
-1.8203 -5.7164 5.4667
4.3436 6.8165 6.4549
Li Ga Pt
2 12 6
Cartesian
-1.0918 1.0621 11.0858 Li
-0.0514 1.7928 1.4499 Li
-0.9203 3.0452 6.4431 Ga
-0.2229 -0.1903 6.0926 Ga
-4.0229 -3.1113 5.5116 Ga
2.8797 5.9663 7.0242 Ga
-3.2554 -0.8677 3.6825 Ga
2.1122 3.7226 8.8533 Ga
-2.8094 -1.0785 6.9473 Ga
1.6663 3.9334 5.5884 Ga
-1.4914 2.8934 3.4669 Ga
0.3482 -0.0385 9.0689 Ga
-0.5393 2.8874 9.1687 Ga
-0.6039 -0.0325 3.3671 Ga
0.2689 5.0947 7.6864 Pt
-1.4120 -2.2398 4.8494 Pt
-1.6578 1.0018 7.8783 Pt
0.5147 1.8531 4.6574 Pt
-2.6588 0.9569 2.0305 Pt
1.5156 1.8980 10.5052 Pt
```


[3]
VASP calculation (PBE) on an optimized crystal structure of LiGa2Pt.

Calculated values
ΔE to the lowest computed polymorph	0.00	eV per formula unit
DFT formation energy	-0.623	eV per atom

Geometry as POSCAR:
```
LiGa2Pt
1.0
0.0000 3.0829 3.0829
3.0829 0.0000 3.0829
3.0829 3.0829 0.0000
Ga Pt Li
2 1 1
Cartesian
1.5414 1.5414 1.5414 Ga
4.6243 4.6243 4.6243 Ga
3.0829 3.0829 3.0829 Pt
0.0000 0.0000 0.0000 Li
```


[4]
VASP calculation (PBE) on an optimized crystal structure of LiGa3Pt.

Calculated values
ΔE to the lowest computed polymorph	0.14	eV per formula unit
DFT formation energy	-0.445	eV per atom

Geometry as POSCAR:
```
LiGa3Pt
1.0
3.5246 0.0000 0.0000
0.0000 8.3495 0.0000
0.0000 0.0000 11.8838
Li Ga Pt
4 12 4
Cartesian
2.6434 6.8576 11.6416 Li
0.8811 5.6667 5.6997 Li
2.6434 2.6828 6.1842 Li
0.8811 1.4919 0.2423 Li
0.8811 4.8351 0.8856 Ga
2.6434 3.5144 10.9983 Ga
0.8811 0.6604 5.0564 Ga
2.6434 7.6891 6.8275 Ga
0.8811 3.4938 8.2173 Ga
2.6434 0.6810 2.2753 Ga
0.8811 7.6685 9.6085 Ga
2.6434 5.5419 8.2309 Ga
0.8811 2.8076 3.6529 Ga
2.6434 1.3671 9.5949 Ga
2.6434 4.8557 3.6666 Ga
0.8811 6.9824 2.2890 Ga
0.8811 1.0392 7.6512 Pt
0.8811 5.2139 10.1746 Pt
2.6434 3.1356 1.7092 Pt
2.6434 7.3103 4.2327 Pt
```


[5]
VASP calculation (PBE) on an optimized crystal structure of Li8Ga2Pt.

Calculated values
DFT formation energy	-0.184	eV per atom

Geometry as POSCAR:
```
Li8Ga2Pt
1.0
4.3201 1.0602 0.0000
1.6738 6.9097 0.0000
0.8369 3.4549 6.4580
Li Ga Pt
8 2 1
Cartesian
4.0646 2.3183 1.4145 Li
4.9015 5.7732 5.0435 Li
1.9096 2.9417 0.0000 Li
3.8338 7.4398 2.5685 Li
2.9970 3.9850 3.8895 Li
4.0843 5.0282 0.0000 Li
1.9293 5.6516 1.4145 Li
2.7662 9.1064 5.0435 Li
0.8369 3.4549 2.4648 Ga
1.6738 6.9097 3.9931 Ga
2.1601 0.5301 0.0000 Pt
```


[6]
VASP calculation (PBE) on an optimized crystal structure of Li2Ga4Pt.

Calculated values
ΔE to the lowest computed polymorph	1.39	eV per formula unit
DFT formation energy	-0.102	eV per atom

Geometry as POSCAR:
```
Li2Ga4Pt
1.0
4.7593 0.0000 0.0000
0.0000 4.7593 0.0000
2.3796 2.3796 6.7581
Ga Pt Li
4 1 2
Cartesian
2.3796 2.3796 4.1387 Ga
4.7593 4.7593 2.6194 Ga
0.0000 2.3796 0.0000 Ga
2.3796 0.0000 0.0000 Ga
0.0000 0.0000 0.0000 Pt
2.3796 2.3796 1.6133 Li
4.7593 4.7593 5.1448 Li
```